# TbCuRh4

A relaxed TbCuRh4 crystal (PBE, Alexandria via LeMat-Bulk).

Cell: 5.2180 5.2180 5.2180 Å, 60.00 60.00 60.00°
With the nearest neighbours (Å) after each atom.
Positions (direct):
Rh (0.6255, 0.6255, 0.1235)  6 Rh 2.60-2.62
Rh (0.6255, 0.1235, 0.6255)  6 Rh 2.60-2.62
Rh (0.6255, 0.6255, 0.6255)  6 Rh 2.60-2.62
Rh (0.1235, 0.6255, 0.6255)  6 Rh 2.60-2.62
Tb (0.2500, 0.2500, 0.2500)  12 Rh 3.06, 4 Cu 3.20
Cu (0.0000, 0.0000, 0.0000)  12 Rh 3.06, 4 Tb 3.20

Values from the calculation:
The magnetization comes out at 0.0 μB/cell. The formation energy is -1.500 eV per formula unit. The total energy comes out at -6.6054 eV per atom.